1.
The following is a DFT calculation (PBE) of a relaxed Y2TaAl crystal.

Structure (extended XYZ):
```
4
Lattice="5.039 0.000 0.000 2.520 4.364 0.000 2.520 1.455 4.115" Properties=species:S:1:pos:R:3 pbc="T T T"
Y 2.520 1.455 1.029
Y 0.000 0.000 0.000
Al 5.039 2.909 2.057
Ta 7.559 4.364 3.086
```

DFT formation energy, eV/atom: 0.236



2.
The following is a DFT calculation (PBE) of a relaxed Rb3LaMo crystal.

Structure (extended XYZ):
```
5
Lattice="-1.153 -0.689 -5.702 5.719 -0.671 -1.076 -0.527 -5.779 0.804" Properties=species:S:1:pos:R:3 pbc="T T T"
La 2.020 -3.569 -2.987
Mo 0.000 0.000 0.000
Rb -0.577 -0.344 -2.851
Rb -0.263 -2.889 0.402
Rb 2.860 -0.336 -0.538
```

DFT formation energy, eV/atom: 1.940



3.
The following is a DFT calculation (PBE) of a relaxed La2MnOs crystal.

Structure (extended XYZ):
```
4
Lattice="-2.113 1.245 -3.093 -3.639 -1.849 1.742 -2.988 3.977 3.643" Properties=species:S:1:pos:R:3 pbc="T T T"
La -3.036 1.435 0.133
La -6.282 1.751 4.998
Os -5.357 2.621 2.197
Mn -4.006 0.759 3.043
```

DFT formation energy, eV/atom: 0.067



4.
The following is a DFT calculation (PBE) of a relaxed DyIrRhO6 crystal.

Structure (extended XYZ):
```
18
Lattice="-1.492 2.487 4.488 -3.636 -1.189 -3.731 -1.369 -7.602 3.757" Properties=species:S:1:pos:R:3 pbc="T T T"
Rh -0.685 -3.801 1.878
Rh 0.000 0.000 0.000
O -2.172 -5.040 1.173
O -1.665 -1.234 4.372
O -4.832 -5.070 0.141
O -4.304 -3.905 2.692
O -2.951 -6.324 3.422
O -5.688 -6.227 2.621
O -0.809 -0.077 1.893
O -2.193 -2.399 1.822
O -3.546 0.021 1.092
O -3.742 -7.423 0.910
O -2.755 1.119 3.604
O -4.325 -1.264 3.341
Dy -3.263 -1.864 -0.052
Dy -3.234 -4.440 4.566
Ir -2.549 -0.639 2.687
Ir -3.948 -5.665 1.826
```

ΔE_f (raw), meV per atom: -1333



5.
The following is a DFT calculation (PBE) of a relaxed Tc3Sn crystal.

Structure (extended XYZ):
```
4
Lattice="-3.409 2.793 -0.926 -1.706 -2.320 -0.716 -1.491 -0.310 4.557" Properties=species:S:1:pos:R:3 pbc="T T T"
Tc -0.005 -0.001 0.016
Tc -2.834 0.179 0.024
Tc -1.555 -1.306 1.785
Sn -2.710 1.188 2.609
```

DFT formation energy, eV/atom: 0.208



6.
The following is a DFT calculation (PBE) of a relaxed Np2Si6PtRh crystal.

Structure (extended XYZ):
```
20
Lattice="5.840 0.000 0.000 2.920 5.058 0.000 2.920 1.686 12.593" Properties=species:S:1:pos:R:3 pbc="T T T"
Np 8.760 5.058 10.369
Np 2.920 1.686 7.779
Np 8.760 5.058 4.813
Np 2.920 1.686 2.224
Pt 5.840 3.372 3.357
Pt 5.840 3.372 9.236
Si 7.560 4.365 1.997
Si 4.120 2.379 10.596
Si 4.120 4.365 1.997
Si 7.589 4.382 7.656
Si 4.091 2.362 4.937
Si 5.840 1.352 7.656
Si 7.589 2.362 4.937
Si 5.840 5.358 10.596
Si 4.091 4.382 7.656
Si 7.560 2.379 10.596
Si 5.840 1.385 1.997
Si 5.840 5.392 4.937
Rh 5.840 3.372 6.296
Rh 0.000 0.000 0.000
```

ΔE_f (raw), meV per atom: -265



7.
The following is a DFT calculation (PBE) of a relaxed Rb2CoSe2 crystal.

Structure (extended XYZ):
```
10
Lattice="-4.653 3.566 6.070 0.070 8.387 -0.934 -1.867 -6.511 -5.034" Properties=species:S:1:pos:R:3 pbc="T T T"
Se -2.474 1.583 -2.307
Se -0.619 6.719 -1.251
Se -3.975 3.859 2.409
Se -5.830 -1.277 1.353
Rb -2.801 0.772 1.086
Rb -3.648 4.670 -0.983
Rb -2.368 -1.763 -3.391
Rb -4.082 7.205 3.493
Co -1.347 1.407 -4.476
Co -0.449 0.469 -1.492
```

ΔE_f (raw), meV per atom: -717



8.
The following is a DFT calculation (PBE) of a relaxed Dy3As4Rh4 crystal.

Structure (extended XYZ):
```
11
Lattice="4.084 0.000 0.000 0.000 7.134 0.000 -2.042 -3.567 6.848" Properties=species:S:1:pos:R:3 pbc="T T T"
As 2.042 0.000 3.878
As 0.000 3.567 2.969
As 2.042 5.666 0.000
As 2.042 1.468 0.000
Dy 0.000 3.567 0.000
Dy 2.042 3.567 5.135
Dy 0.000 0.000 1.713
Rh 2.042 5.017 2.428
Rh 2.042 2.116 2.428
Rh 0.000 1.450 4.419
Rh 0.000 -1.450 4.419
```

DFT formation energy, eV/atom: -1.050



no.,E_tot (eV per atom)
1,-6.8950
2,-1.7918
3,-7.4964
4,-6.9516
5,-8.5668
6,-7.4460
7,-3.9193
8,-6.6687